This record from Alexandria describes Zn2InGaO5 after structural relaxation. The functional is GGA-PBE.

Unit cell a=3.345 b=3.345 c=22.759 alpha=90.00 beta=90.00 gamma=120.00
Fractional coordinates of all 18 atoms:
Zn: 0.667 0.333 0.135
Zn: 0.667 0.333 0.365
Zn: 0.333 0.667 0.635
Zn: 0.333 0.667 0.865
In: 0.000 0.000 0.000
In: 0.000 0.000 0.500
Ga: 0.000 0.000 0.250
Ga: 0.000 0.000 0.750
O: 0.667 0.333 0.048
O: 0.000 0.000 0.162
O: 0.667 0.333 0.250
O: 0.000 0.000 0.338
O: 0.667 0.333 0.452
O: 0.333 0.667 0.548
O: 0.000 0.000 0.662
O: 0.333 0.667 0.750
O: 0.000 0.000 0.838
O: 0.333 0.667 0.952

Output
**E_tot**: -5.2740 eV/atom
**Calculated volume**: 220.5 Å³ per cell
**Formation energy without anion corrections**: -1596 meV per atom
**Space group**: P6_3/mmc
**Total moment**: 0.00 μB/atom